Record 1
# Rb2In12Ge PBE-GGA relaxed
# DFT formation energy	-0.039	eV/atom
# raw total energy	-2.6662	eV per atom
# SG	P4/nbm (125)
data_Rb2In12Ge
_cell_length_a 7.1271
_cell_length_b 7.1271
_cell_length_c 18.1559
_cell_angle_alpha 90.00
_cell_angle_beta 90.00
_cell_angle_gamma 90.00
_symmetry_space_group_name_H-M 'P 1'
_symmetry_Int_Tables_number 1
loop_
_symmetry_equiv_pos_as_xyz
'x,y,z'
loop_
_atom_site_label
_atom_site_type_symbol
_atom_site_fract_x
_atom_site_fract_y
_atom_site_fract_z
Rb1 Rb 0.5000 0.0000 0.2481
Rb2 Rb 0.0000 0.5000 0.2481
Rb3 Rb 0.0000 0.5000 0.7519
Rb4 Rb 0.5000 0.0000 0.7519
In1 In 0.5000 0.5000 0.8199
In2 In 0.0000 0.0000 0.8199
In3 In 0.7501 0.7499 0.9136
In4 In 0.2501 0.7501 0.9136
In5 In 0.0000 0.0000 0.3466
In6 In 0.2499 0.7499 0.0864
In7 In 0.8350 0.3350 0.5667
In8 In 0.5000 0.5000 0.3466
In9 In 0.2499 0.2501 0.9136
In10 In 0.7499 0.7501 0.0864
In11 In 0.3350 0.1650 0.5667
In12 In 0.6650 0.1650 0.4333
In13 In 0.0000 0.0000 0.6534
In14 In 0.1650 0.3350 0.4333
In15 In 0.2501 0.2499 0.0864
In16 In 0.8350 0.6650 0.4333
In17 In 0.6650 0.8350 0.5667
In18 In 0.0000 0.0000 0.1801
In19 In 0.1650 0.6650 0.5667
In20 In 0.5000 0.5000 0.6534
In21 In 0.7499 0.2499 0.9136
In22 In 0.5000 0.5000 0.1801
In23 In 0.3350 0.8350 0.4333
In24 In 0.7501 0.2501 0.0864
Ge1 Ge 0.5000 0.0000 0.0000
Ge2 Ge 0.0000 0.5000 0.0000

Record 2
# Nd2Si2Ge PBE-GGA relaxed
# raw total energy	-5.6516	eV per atom
# SG	C2/m (12)
# energy above the most stable polymorph in this dataset	0.0000	eV per atom
# formation energy without anion corrections	-652	meV per atom
data_Nd2Si2Ge
_cell_length_a 4.3146
_cell_length_b 5.8949
_cell_length_c 9.8995
_cell_angle_alpha 81.81
_cell_angle_beta 77.41
_cell_angle_gamma 68.53
_symmetry_space_group_name_H-M 'P 1'
_symmetry_Int_Tables_number 1
loop_
_symmetry_equiv_pos_as_xyz
'x,y,z'
loop_
_atom_site_label
_atom_site_type_symbol
_atom_site_fract_x
_atom_site_fract_y
_atom_site_fract_z
Nd1 Nd 0.7040 0.2330 0.3589
Nd2 Nd 0.8974 0.3028 0.9024
Nd3 Nd 0.2960 0.7670 0.6411
Nd4 Nd 0.1026 0.6972 0.0976
Si1 Si 0.0260 0.3549 0.5930
Si2 Si 0.6161 0.8716 0.8961
Si3 Si 0.9740 0.6451 0.4070
Si4 Si 0.3839 0.1284 0.1039
Ge1 Ge 0.5647 0.1794 0.6912
Ge2 Ge 0.4353 0.8206 0.3088

Record 3
# Mg2InTe PBE-GGA relaxed
# raw total energy	-2.3523	eV per atom
# SG	Fm-3m (225)
# energy above the most stable polymorph in this dataset	0.1964	eV per atom
# formation energy without anion corrections	-85	meV per atom
data_Mg2InTe
_cell_length_a 5.2384
_cell_length_b 5.2384
_cell_length_c 5.2384
_cell_angle_alpha 60.00
_cell_angle_beta 60.00
_cell_angle_gamma 60.00
_symmetry_space_group_name_H-M 'P 1'
_symmetry_Int_Tables_number 1
loop_
_symmetry_equiv_pos_as_xyz
'x,y,z'
loop_
_atom_site_label
_atom_site_type_symbol
_atom_site_fract_x
_atom_site_fract_y
_atom_site_fract_z
Mg1 Mg 0.2500 0.2500 0.2500
Mg2 Mg 0.7500 0.7500 0.7500
Te1 Te 0.5000 0.5000 0.5000
In1 In 0.0000 0.0000 0.0000

Record 4
# PuZnCd11 PBE-GGA relaxed
# DFT formation energy	-0.017	eV/atom
# raw total energy	-1.9918	eV per atom
# SG	C2/m (12)
data_PuZnCd11
_cell_length_a 5.8704
_cell_length_b 7.6025
_cell_length_c 7.6427
_cell_angle_alpha 81.64
_cell_angle_beta 67.41
_cell_angle_gamma 67.77
_symmetry_space_group_name_H-M 'P 1'
_symmetry_Int_Tables_number 1
loop_
_symmetry_equiv_pos_as_xyz
'x,y,z'
loop_
_atom_site_label
_atom_site_type_symbol
_atom_site_fract_x
_atom_site_fract_y
_atom_site_fract_z
Pu1 Pu 0.0000 0.0000 0.0000
Zn1 Zn 0.5000 0.5000 0.0000
Cd1 Cd 0.2976 0.2160 0.2093
Cd2 Cd 0.7024 0.7840 0.7907
Cd3 Cd 0.4931 0.7840 0.2093
Cd4 Cd 0.5069 0.2160 0.7907
Cd5 Cd 0.3545 0.6456 0.6544
Cd6 Cd 0.6455 0.3544 0.3456
Cd7 Cd 0.9911 0.3544 0.6544
Cd8 Cd 0.0089 0.6456 0.3456
Cd9 Cd 0.0000 0.5000 0.0000
Cd10 Cd 0.5000 0.0000 0.5000
Cd11 Cd 0.0000 0.0000 0.5000